# PBE+U K2V3MoF12, relaxed
data_K2V3MoF12
_chemical_formula_sum 'K6 V9 Mo3 F36'
_cell_length_a 7.6573
_cell_length_b 7.6573
_cell_length_c 18.8748
_cell_angle_alpha 90.00
_cell_angle_beta 90.00
_cell_angle_gamma 120.00
_symmetry_space_group_name_H-M 'R -3 m'
_symmetry_Int_Tables_number 166
_symmetry_space_group_name_Hall '-R 3 2"'
loop_
_atom_site_label
_atom_site_type_symbol
_atom_site_fract_x
_atom_site_fract_y
_atom_site_fract_z
K1 K 0.0000 0.0000 0.1805
V1 V 0.0000 0.5000 0.0000
Mo1 Mo 0.0000 0.0000 0.5000
F1 F 0.0638 0.5319 0.1086
F2 F 0.0878 0.5439 0.3590
# **Calculated volume**: 17.75 A^3/atom
# **Electronic total energy**: -5.762 eV/atom


# PBE+U KVMoF6, relaxed
data_KVMoF6
_chemical_formula_sum 'K1 V1 Mo1 F6'
_cell_length_a 5.6973
_cell_length_b 5.6973
_cell_length_c 5.6275
_cell_angle_alpha 90.00
_cell_angle_beta 90.00
_cell_angle_gamma 120.00
_symmetry_space_group_name_H-M 'P 3 1 2'
_symmetry_Int_Tables_number 149
loop_
_symmetry_equiv_pos_as_xyz
'x,y,z'
'-y,x-y,z'
'-x+y,-x,z'
'-y,-x,-z'
'-x+y,y,-z'
'x,x-y,-z'
loop_
_atom_site_label
_atom_site_type_symbol
_atom_site_fract_x
_atom_site_fract_y
_atom_site_fract_z
K1 K 0.0000 0.0000 0.0000
V1 V 0.6667 0.3333 0.5000
Mo1 Mo 0.3333 0.6667 0.5000
F1 F 0.0035 0.3655 0.6955
# **Calculated volume**: 17.57 A^3/atom
# **Electronic total energy**: -5.681 eV/atom


# PBE+U KMo2WF, relaxed
data_KMo2WF
_chemical_formula_sum 'K1 Mo2 W1 F1'
_cell_length_a 5.248
_cell_length_b 5.248
_cell_length_c 7.249
_cell_angle_alpha 90.00
_cell_angle_beta 90.00
_cell_angle_gamma 90.00
_symmetry_space_group_name_H-M 'P 4/m m m'
_symmetry_Int_Tables_number 123
_symmetry_space_group_name_Hall '-P 4 2'
loop_
_atom_site_label
_atom_site_type_symbol
_atom_site_fract_x
_atom_site_fract_y
_atom_site_fract_z
K1 K 0.000 0.000 0.000
Mo1 Mo 0.000 0.500 0.500
W1 W 0.000 0.000 0.500
F1 F 0.500 0.500 0.000
# **Calculated volume**: 39.93 A^3/atom
# **Electronic total energy**: -3.718 eV/atom


# PBE+U KZnMoF6, relaxed
data_KZnMoF6
_chemical_formula_sum 'K4 Zn4 Mo4 F24'
_cell_length_a 7.473
_cell_length_b 7.761
_cell_length_c 10.954
_cell_angle_alpha 90.00
_cell_angle_beta 90.00
_cell_angle_gamma 90.00
_symmetry_space_group_name_H-M 'I m m a'
_symmetry_Int_Tables_number 74
_symmetry_space_group_name_Hall '-I 2b 2'
loop_
_atom_site_label
_atom_site_type_symbol
_atom_site_fract_x
_atom_site_fract_y
_atom_site_fract_z
K1 K 0.000 0.250 0.051
Zn1 Zn 0.250 0.250 0.750
Mo1 Mo 0.000 0.000 0.500
F1 F 0.000 0.250 0.423
F2 F 0.000 0.250 0.807
F3 F 0.213 0.060 0.616
# **Calculated volume**: 17.65 A^3/atom
# **Electronic total energy**: -4.855 eV/atom


# PBE+U K2Zn3MoF12, relaxed
data_K2Zn3MoF12
_chemical_formula_sum 'K6 Zn9 Mo3 F36'
_cell_length_a 7.3624
_cell_length_b 7.3624
_cell_length_c 19.4962
_cell_angle_alpha 90.00
_cell_angle_beta 90.00
_cell_angle_gamma 120.00
_symmetry_space_group_name_H-M 'R -3 m'
_symmetry_Int_Tables_number 166
_symmetry_space_group_name_Hall '-R 3 2"'
loop_
_atom_site_label
_atom_site_type_symbol
_atom_site_fract_x
_atom_site_fract_y
_atom_site_fract_z
K1 K 0.0000 0.0000 0.0906
Zn1 Zn 0.0000 0.5000 0.0000
Mo1 Mo 0.0000 0.0000 0.5000
F1 F 0.0619 0.5310 0.3550
F2 F 0.0711 0.5355 0.1104
# **Calculated volume**: 16.95 A^3/atom
# **Electronic total energy**: -4.430 eV/atom


Copy entry 2 word for word.
# PBE+U KVMoF6, relaxed
data_KVMoF6
_chemical_formula_sum 'K1 V1 Mo1 F6'
_cell_length_a 5.6973
_cell_length_b 5.6973
_cell_length_c 5.6275
_cell_angle_alpha 90.00
_cell_angle_beta 90.00
_cell_angle_gamma 120.00
_symmetry_space_group_name_H-M 'P 3 1 2'
_symmetry_Int_Tables_number 149
loop_
_symmetry_equiv_pos_as_xyz
'x,y,z'
'-y,x-y,z'
'-x+y,-x,z'
'-y,-x,-z'
'-x+y,y,-z'
'x,x-y,-z'
loop_
_atom_site_label
_atom_site_type_symbol
_atom_site_fract_x
_atom_site_fract_y
_atom_site_fract_z
K1 K 0.0000 0.0000 0.0000
V1 V 0.6667 0.3333 0.5000
Mo1 Mo 0.3333 0.6667 0.5000
F1 F 0.0035 0.3655 0.6955
# **Calculated volume**: 17.57 A^3/atom
# **Electronic total energy**: -5.681 eV/atom